Entry from Alexandria: Ho4Bi5C after structural relaxation (PBE).

Unit cell a=18.464 b=3.970 c=7.975 alpha=90.00 beta=90.66 gamma=90.00
Space group C2/m (No. 12)
Inequivalent atoms, fractional coordinates:
Ho  0.038  0.000  0.316
Ho  0.118  0.500  0.636
Bi  0.000  0.500  0.000
Bi  0.137  0.000  0.953
Bi  0.209  0.000  0.368
C  0.000  0.500  0.500

Summary:
- N(E_F): 11.0 states/eV per cell
- Spin magnetization: 0.00 μB/f.u.
- E_tot: -0.188 hartree per atom
- ΔH_f (0 K): -0.43 eV per atom

Entry from Alexandria: CsTeO3 after structural relaxation (PBE).

Unit cell a=4.212 b=4.212 c=4.212 alpha=90.00 beta=90.00 gamma=90.00
Space group Pm-3m (No. 221)
Inequivalent atoms, fractional coordinates:
Cs  0.000  0.000  0.000
Te  0.500  0.500  0.500
O  0.000  0.500  0.500

Summary:
- E_form (uncorrected): -1007 meV/atom
- N(E_F): 1.0 states/eV per cell
- Spin magnetization: 0.00 μB/f.u.
- E_tot: -0.176 hartree per atom